Arrangement i

Density functional theory data (PBE) for a relaxed structure of HgPbSeO.

## Properties
- space group = No. 29

a b c (Å): 6.250 10.068 6.230
angles (deg): 90.00 90.00 90.00
Fractional coordinates of all 16 atoms:
Se 0.498 0.341 0.050
Hg 0.041 0.090 0.533
Se 0.998 0.659 0.050
Pb 0.506 0.322 0.554
Pb 0.494 0.678 0.054
O 0.556 0.895 0.112
Pb 0.994 0.322 0.054
Se 0.002 0.341 0.550
Se 0.502 0.659 0.550
O 0.444 0.105 0.612
Hg 0.459 0.090 0.033
Hg 0.959 0.910 0.033
O 0.944 0.895 0.612
Hg 0.541 0.910 0.533
Pb 0.006 0.678 0.554
O 0.056 0.105 0.112

Arrangement ii

Density functional theory data (PBE) for a relaxed structure of HgPbSeO.

## Properties
- space group = No. 62

a b c (Å): 6.439 3.919 15.305
angles (deg): 90.00 90.00 90.00
Fractional coordinates of all 16 atoms:
Hg 0.663 0.750 0.409
Pb 0.881 0.750 0.679
Se 0.254 0.750 0.452
Pb 0.619 0.250 0.179
O 0.240 0.750 0.673
Hg 0.163 0.750 0.091
O 0.760 0.250 0.327
O 0.740 0.750 0.827
Se 0.754 0.750 0.048
Se 0.246 0.250 0.952
Pb 0.119 0.250 0.321
Hg 0.337 0.250 0.591
Hg 0.837 0.250 0.909
Se 0.746 0.250 0.548
Pb 0.381 0.750 0.821
O 0.260 0.250 0.173

In terms of stability, arrangement i leads; the second structure lies 80 meV/atom higher.

Arrangement i

Density functional theory data (PBE) for a relaxed structure of Tb2Tl2O5.

## Properties
- space group = No. 123

a b c (Å): 7.054 4.315 4.315
angles (deg): 90.00 90.00 90.00
Fractional coordinates of all 9 atoms:
Tl 0.807 0.500 0.500
O 0.500 0.500 0.500
Tl 0.193 0.500 0.500
Tb 0.000 0.000 0.000
O 0.753 0.000 0.500
O 0.247 0.500 0.000
O 0.753 0.500 0.000
Tb 0.500 0.000 0.000
O 0.247 0.000 0.500

Arrangement ii

Density functional theory data (PBE) for a relaxed structure of Tb2Tl2O5.

## Properties
- space group = No. 123

a b c (Å): 8.556 4.168 4.168
angles (deg): 90.00 90.00 90.00
Fractional coordinates of all 9 atoms:
Tb 0.246 0.500 0.500
Tb 0.754 0.500 0.500
O 0.162 0.000 0.500
O 0.838 0.500 0.000
O 0.838 0.000 0.500
O 0.500 0.500 0.500
Tl 0.500 0.000 0.000
Tl 0.000 0.000 0.000
O 0.162 0.500 0.000

In terms of stability, arrangement ii leads; the second structure lies 721 meV/atom higher.

Arrangement i

Density functional theory data (PBE) for a relaxed structure of PrNb.

## Properties
- space group = No. 187

a b c (Å): 3.211 3.211 5.584
angles (deg): 90.00 90.00 120.00
Fractional coordinates of all 2 atoms:
Pr 0.333 0.667 0.250
Nb 0.667 0.333 0.750

Arrangement ii

Density functional theory data (PBE) for a relaxed structure of PrNb.

## Properties
- space group = No. 225

a b c (Å): 4.273 4.273 4.273
angles (deg): 60.00 60.00 60.00
Fractional coordinates of all 2 atoms:
Pr 0.500 0.500 0.500
Nb 0.000 0.000 0.000

In terms of stability, arrangement i leads; the second structure lies 678 meV/atom higher.

Arrangement i

Density functional theory data (PBE) for a relaxed structure of PtAuNO.

## Properties
- space group = No. 129

a b c (Å): 4.175 4.175 5.675
angles (deg): 90.00 90.00 90.00
Fractional coordinates of all 8 atoms:
N 0.750 0.750 0.312
Pt 0.750 0.750 0.950
O 0.750 0.250 0.000
Pt 0.250 0.250 0.050
O 0.250 0.750 0.000
Au 0.250 0.750 0.500
N 0.250 0.250 0.688
Au 0.750 0.250 0.500

Arrangement ii

Density functional theory data (PBE) for a relaxed structure of PtAuNO.

## Properties
- space group = No. 129

a b c (Å): 4.337 4.337 5.394
angles (deg): 90.00 90.00 90.00
Fractional coordinates of all 8 atoms:
O 0.500 0.500 0.000
Au 0.500 0.500 0.500
Pt 0.000 0.500 0.044
O 0.000 0.000 0.000
N 0.500 0.000 0.325
N 0.000 0.500 0.675
Au 0.000 0.000 0.500
Pt 0.500 0.000 0.956

In terms of stability, arrangement ii leads; the second structure lies 44 meV/atom higher.

Arrangement i

Density functional theory data (PBE) for a relaxed structure of InAsOsO.

## Properties
- space group = No. 26

a b c (Å): 3.633 7.287 5.473
angles (deg): 90.00 90.00 90.00
Fractional coordinates of all 8 atoms:
As 0.000 0.168 0.372
Os 0.500 0.975 0.095
In 0.000 0.602 0.414
O 0.500 0.215 0.873
Os 0.500 0.025 0.595
O 0.500 0.785 0.373
As 0.000 0.832 0.872
In 0.000 0.398 0.914

Arrangement ii

Density functional theory data (PBE) for a relaxed structure of InAsOsO.

## Properties
- space group = No. 26

a b c (Å): 3.728 7.800 5.423
angles (deg): 90.00 90.00 90.00
Fractional coordinates of all 8 atoms:
As 0.000 0.355 0.378
Os 0.000 0.332 0.931
O 0.500 0.322 0.916
Os 0.000 0.668 0.431
As 0.000 0.645 0.878
In 0.500 0.925 0.029
In 0.500 0.075 0.529
O 0.500 0.678 0.416

In terms of stability, arrangement i leads; the second structure lies 157 meV/atom higher.

Arrangement i

Density functional theory data (PBE) for a relaxed structure of MgFeHgSe3.

## Properties
- space group = No. 63

a b c (Å): 3.691 7.035 11.090
angles (deg): 90.00 90.00 74.79
Fractional coordinates of all 12 atoms:
Fe 0.000 0.000 0.000
Se 0.623 0.754 0.066
Hg 0.497 0.006 0.250
Se 0.623 0.754 0.434
Mg 0.791 0.418 0.750
Hg 0.503 0.994 0.750
Mg 0.209 0.582 0.250
Se 0.148 0.703 0.750
Se 0.852 0.297 0.250
Fe 0.000 0.000 0.500
Se 0.377 0.246 0.566
Se 0.377 0.246 0.934

Arrangement ii

Density functional theory data (PBE) for a relaxed structure of MgFeHgSe3.

## Properties
- space group = No. 63

a b c (Å): 3.768 6.342 12.360
angles (deg): 90.00 90.00 72.72
Fractional coordinates of all 12 atoms:
Se 0.904 0.192 0.250
Mg 0.767 0.467 0.750
Fe 0.467 0.065 0.750
Hg 0.000 0.000 0.000
Mg 0.233 0.533 0.250
Hg 0.000 0.000 0.500
Se 0.649 0.702 0.404
Fe 0.533 0.935 0.250
Se 0.351 0.298 0.904
Se 0.649 0.702 0.096
Se 0.096 0.808 0.750
Se 0.351 0.298 0.596

In terms of stability, arrangement ii leads; the second structure lies 136 meV/atom higher.

Arrangement i

Density functional theory data (PBE) for a relaxed structure of ScZnCoSb.

## Properties
- space group = No. 216

a b c (Å): 4.574 4.574 4.574
angles (deg): 60.00 60.00 60.00
Fractional coordinates of all 4 atoms:
Sb 0.000 0.000 0.000
Zn 0.500 0.500 0.500
Co 0.250 0.250 0.250
Sc 0.750 0.750 0.750

Arrangement ii

Density functional theory data (PBE) for a relaxed structure of ScZnCoSb.

## Properties
- space group = No. 216

a b c (Å): 4.613 4.613 4.613
angles (deg): 60.00 60.00 60.00
Fractional coordinates of all 4 atoms:
Co 0.500 0.500 0.500
Sb 0.000 0.000 0.000
Sc 0.250 0.250 0.250
Zn 0.750 0.750 0.750

In terms of stability, arrangement i leads; the second structure lies 157 meV/atom higher.

Arrangement i

Density functional theory data (PBE) for a relaxed structure of LuBNO.

## Properties
- space group = No. 38

a b c (Å): 5.430 5.430 2.802
angles (deg): 90.01 90.01 96.23
Fractional coordinates of all 8 atoms:
Lu 0.155 0.630 0.500
O 0.449 0.787 0.001
B 0.720 0.720 0.001
N 0.195 0.195 0.500
N 0.825 0.825 0.499
B 0.238 0.238 0.999
Lu 0.630 0.155 0.500
O 0.787 0.449 0.001

Arrangement ii

Density functional theory data (PBE) for a relaxed structure of LuBNO.

## Properties
- space group = No. 129

a b c (Å): 4.587 4.587 4.359
angles (deg): 90.00 90.00 90.00
Fractional coordinates of all 8 atoms:
O 0.750 0.250 0.000
O 0.250 0.750 0.000
N 0.250 0.250 0.598
Lu 0.250 0.750 0.500
B 0.250 0.250 0.914
N 0.750 0.750 0.402
Lu 0.750 0.250 0.500
B 0.750 0.750 0.086

In terms of stability, arrangement i leads; the second structure lies 412 meV/atom higher.

Arrangement i

Density functional theory data (PBE) for a relaxed structure of SmSc.

## Properties
- space group = No. 216

a b c (Å): 4.643 4.643 4.643
angles (deg): 60.00 60.00 60.00
Fractional coordinates of all 2 atoms:
Sc 0.000 0.000 0.000
Sm 0.250 0.250 0.250

Arrangement ii

Density functional theory data (PBE) for a relaxed structure of SmSc.

## Properties
- space group = No. 187

a b c (Å): 3.482 3.482 5.467
angles (deg): 90.00 90.00 120.00
Fractional coordinates of all 2 atoms:
Sm 0.333 0.667 0.250
Sc 0.667 0.333 0.750

In terms of stability, arrangement ii leads; the second structure lies 1759 meV/atom higher.

Arrangement i

Density functional theory data (PBE) for a relaxed structure of Cu5Ag4.

## Properties
- space group = No. 12

a b c (Å): 7.098 7.098 7.782
angles (deg): 120.57 120.57 23.03
Fractional coordinates of all 9 atoms:
Cu 0.443 0.443 0.687
Cu 0.000 0.000 0.000
Ag 0.337 0.337 0.989
Ag 0.663 0.663 0.011
Ag 0.112 0.112 0.650
Ag 0.888 0.888 0.350
Cu 0.217 0.217 0.348
Cu 0.557 0.557 0.313
Cu 0.783 0.783 0.652

Arrangement ii

Density functional theory data (PBE) for a relaxed structure of Cu5Ag4.

## Properties
- space group = No. 12

a b c (Å): 4.724 4.724 11.276
angles (deg): 111.66 111.66 34.09
Fractional coordinates of all 9 atoms:
Cu 0.735 0.735 0.903
Ag 0.840 0.840 0.338
Cu 0.500 0.500 0.000
Ag 0.160 0.160 0.662
Cu 0.265 0.265 0.097
Cu 0.619 0.619 0.447
Ag 0.953 0.953 0.787
Ag 0.047 0.047 0.213
Cu 0.381 0.381 0.553

Arrangement iii

Density functional theory data (PBE) for a relaxed structure of Cu5Ag4.

## Properties
- space group = No. 156

a b c (Å): 2.781 2.781 19.769
angles (deg): 90.00 90.00 120.00
Fractional coordinates of all 9 atoms:
Cu 0.667 0.333 0.988
Cu 0.000 0.000 0.564
Cu 0.000 0.000 0.890
Ag 0.333 0.667 0.451
Cu 0.667 0.333 0.663
Ag 0.000 0.000 0.227
Ag 0.333 0.667 0.101
Ag 0.333 0.667 0.776
Cu 0.667 0.333 0.339

In terms of stability, arrangement i leads; the second structure lies 16 meV/atom higher.

Arrangement i

Density functional theory data (PBE) for a relaxed structure of HfFeReSi.

## Properties
- space group = No. 216

a b c (Å): 4.327 4.327 4.327
angles (deg): 60.00 60.00 60.00
Fractional coordinates of all 4 atoms:
Si 0.000 0.000 0.000
Hf 0.500 0.500 0.500
Fe 0.750 0.750 0.750
Re 0.250 0.250 0.250

Arrangement ii

Density functional theory data (PBE) for a relaxed structure of HfFeReSi.

## Properties
- space group = No. 216

a b c (Å): 4.416 4.416 4.416
angles (deg): 60.00 60.00 60.00
Fractional coordinates of all 4 atoms:
Si 0.000 0.000 0.000
Hf 0.250 0.250 0.250
Re 0.500 0.500 0.500
Fe 0.750 0.750 0.750

In terms of stability, arrangement i leads; the second structure lies 366 meV/atom higher.

Arrangement i

Density functional theory data (PBE) for a relaxed structure of AcAsPtO.

## Properties
- space group = No. 26

a b c (Å): 4.816 4.354 7.515
angles (deg): 90.00 90.00 90.00
Fractional coordinates of all 8 atoms:
O 0.500 0.254 0.438
As 0.000 0.246 0.772
Ac 0.500 0.247 0.105
Pt 0.000 0.744 0.939
Pt 0.000 0.256 0.439
Ac 0.500 0.753 0.605
As 0.000 0.754 0.272
O 0.500 0.746 0.938

Arrangement ii

Density functional theory data (PBE) for a relaxed structure of AcAsPtO.

## Properties
- space group = No. 129

a b c (Å): 4.377 4.377 8.394
angles (deg): 90.00 90.00 90.00
Fractional coordinates of all 8 atoms:
Pt 0.000 0.000 0.500
Pt 0.500 0.500 0.500
Ac 0.000 0.500 0.144
Ac 0.500 0.000 0.856
O 0.000 0.000 0.000
O 0.500 0.500 0.000
As 0.500 0.000 0.350
As 0.000 0.500 0.650

In terms of stability, arrangement ii leads; the second structure lies 337 meV/atom higher.